{
  "formula": "VRuPtO2",
  "functional": "GGA+U",
  "state": "relaxed",
  "lattice": [[3.7331, 0.0000, 0.0000], [0.0000, 3.7331, 0.0000], [0.0000, 0.0000, 5.5636]],
  "species": ["V", "Ru", "Pt", "O", "O"],
  "frac_coords": [[0.0000, 0.0000, 0.0000], [0.5000, 0.5000, 0.5000], [0.5000, 0.5000, 0.0000], [0.0000, 0.5000, 0.5000], [0.5000, 0.0000, 0.5000]],
  "dft_energy_ev_per_cell": -32.84,
  "space_group": "P4/mmm (123)"
}